Record 1
DFT (GGA-PBE) results for a geometry-optimized HfFeCl6 structure.

Cell: 6.3613 6.3613 13.1301 Å, 90.00 90.00 120.00°
Site moments in Bohr magnetons follow the coordinates.
Fractional positions:
Hf 0.3333 0.6667 0.2500  0.00
Hf 0.6667 0.3333 0.7500  0.00
Fe 0.0000 0.0000 0.2500  3.49
Fe 0.0000 0.0000 0.7500  3.49
Cl 0.6643 0.9680 0.1420  0.05
Cl 0.0320 0.6963 0.1420  0.05
Cl 0.3037 0.3357 0.1420  0.05
Cl 0.0320 0.3357 0.3580  0.05
Cl 0.3357 0.3037 0.6420  0.05
Cl 0.6963 0.0320 0.6420  0.05
Cl 0.9680 0.6643 0.6420  0.05
Cl 0.6963 0.6643 0.8580  0.05
Cl 0.9680 0.3037 0.8580  0.05
Cl 0.3357 0.0320 0.8580  0.05
Cl 0.6643 0.6963 0.3580  0.05
Cl 0.3037 0.9680 0.3580  0.05

Results
As for the density of states at the Fermi level: 13.6 states/eV per cell. As for the space group: P-31c. As for the density: 3.227 Mg/m³. The value obtained for the total energy is -5.088 eV per atom.



Record 2
DFT (GGA-PBE) results for a geometry-optimized NbAuN2O structure.

Cell: 3.9964 3.9964 3.9772 Å, 90.00 90.00 90.00°
Fractional positions:
Nb 0.5000 0.5000 0.5000
Au 0.0000 0.0000 0.0000
O 0.0000 0.0000 0.5000
N 0.0000 0.5000 0.0000
N 0.5000 0.0000 0.0000

Results
As for the density of states at the Fermi level: 4.1 states/eV per cell. As for the space group: P4/mmm. As for the density: 8.728 Mg/m³. The value obtained for the total energy is -5.576 eV per atom.



Record 3
DFT (GGA-PBE) results for a geometry-optimized RbPr2AuO5 structure.

Cell: 6.0511 6.9401 6.9401 Å, 90.00 90.00 90.00°
Fractional positions:
Rb 0.0000 0.5000 0.5000
Rb 0.0000 0.0000 0.0000
Pr 0.5000 0.6788 0.1788
Pr 0.5000 0.1788 0.3212
Pr 0.5000 0.8212 0.6788
Pr 0.5000 0.3212 0.8212
Au 0.0000 0.0000 0.5000
Au 0.0000 0.5000 0.0000
O 0.5000 0.5000 0.5000
O 0.5000 0.0000 0.0000
O 0.2566 0.1322 0.6322
O 0.2566 0.8678 0.3678
O 0.2566 0.3678 0.1322
O 0.2566 0.6322 0.8678
O 0.7434 0.1322 0.6322
O 0.7434 0.6322 0.8678
O 0.7434 0.8678 0.3678
O 0.7434 0.3678 0.1322

Results
As for the density of states at the Fermi level: 0.0 states/eV per cell. As for the space group: P4/mbm. As for the density: 7.341 Mg/m³. The value obtained for the total energy is -6.443 eV per atom.



Record 4
DFT (GGA-PBE) results for a geometry-optimized BaSiNi2 structure.

Cell: 5.2526 5.2526 5.2526 Å, 134.63 108.49 88.88°
Fractional positions:
Ba 0.2588 0.7588 0.5000
Ni 0.9050 0.9050 0.0000
Ni 0.7293 0.2293 0.5000
Si 0.6069 0.6069 0.0000

Results
As for the density of states at the Fermi level: 3.1 states/eV per cell. As for the space group: Imm2. As for the density: 5.034 Mg/m³. The value obtained for the total energy is -4.592 eV per atom.



Record 5
DFT (GGA-PBE) results for a geometry-optimized CdMoRu2 structure.

Cell: 5.0059 5.0059 4.7921 Å, 78.05 78.05 32.75°
Fractional positions:
Cd 0.4922 0.4922 0.5230
Mo 0.2625 0.2625 0.2085
Ru 0.0123 0.0123 0.0180
Ru 0.7330 0.7330 0.7506

Results
Its energy of formation from the pure elements is 0.32 eV/atom. As for the density of states at the Fermi level: 4.3 states/eV per cell. As for the space group: Cm. As for the density: 10.745 Mg/m³. The value obtained for the total energy is -7.253 eV per atom.



Record 6
DFT (GGA-PBE) results for a geometry-optimized LiHf3Zn structure.

Cell: 4.6465 4.6465 4.6465 Å, 90.00 90.00 90.00°
Fractional positions:
Zn 0.5000 0.5000 0.5000
Hf 0.0000 0.5000 0.0000
Hf 0.0000 0.0000 0.5000
Hf 0.5000 0.0000 0.0000
Li 0.0000 0.0000 0.0000

Results
Its energy of formation from the pure elements is 0.77 eV/atom. As for the density of states at the Fermi level: 3.5 states/eV per cell. As for the space group: Pm-3m. As for the density: 10.061 Mg/m³. The value obtained for the total energy is -5.837 eV per atom.